# Th2ScGe3Ir4, optimized geometry, DFT GGA-PBE
data_Th2ScGe3Ir4
_chemical_formula_sum 'Th2 Sc1 Ge3 Ir4'
_cell_length_a 4.156
_cell_length_b 4.156
_cell_length_c 11.146
_cell_angle_alpha 90.00
_cell_angle_beta 90.00
_cell_angle_gamma 90.00
_symmetry_space_group_name_H-M 'P -4 m 2'
_symmetry_Int_Tables_number 115
loop_
_symmetry_equiv_pos_as_xyz
'x,y,z'
'y,-x,-z'
'-x,-y,z'
'-y,x,-z'
'-x,y,z'
'-y,-x,-z'
'x,-y,z'
'y,x,-z'
loop_
_atom_site_label
_atom_site_fract_x
_atom_site_fract_y
_atom_site_fract_z
Th1 0.000 0.500 0.237
Sc1 0.000 0.000 0.500
Ge1 0.000 0.500 0.875
Ge2 0.500 0.500 0.500
Ir1 0.000 0.000 0.000
Ir2 0.000 0.500 0.653
Ir3 0.500 0.500 0.000
# crystal system	tetragonal
# ΔH_f (0 K)	-0.86	eV per atom
# E	-7.91	eV/atom
# total moment	0.0	μB/f.u.